The following is a PBE calculation of a relaxed structure of Ac8ZnRh3I4, from Alexandria.

Output
The mass density comes out at 7.6 Mg/m³. The value obtained for the formation energy from raw total energies is -14.52 eV per formula unit. The crystal system is trigonal.

Cell and atoms, written as POSCAR:
```
Ac8ZnRh3I4
1.0
4.451 2.570 8.628
-4.451 2.570 8.628
0.000 -5.140 8.628
Ac Zn Rh I
8 1 3 4
Cartesian
-2.324 -1.342 14.539 Ac
0.000 0.000 5.933 Ac
0.000 -2.684 11.344 Ac
-2.324 1.342 11.344 Ac
2.324 -1.342 14.539 Ac
0.000 2.684 14.539 Ac
0.000 0.000 19.950 Ac
2.324 1.342 11.344 Ac
0.000 0.000 12.941 Zn
-4.451 0.000 12.941 Rh
-2.226 1.285 4.314 Rh
2.226 1.285 4.314 Rh
0.000 0.000 0.000 I
-2.226 -1.285 8.628 I
-2.226 1.285 17.255 I
0.000 2.570 8.628 I
```